Crystalline BaBeIn2 at its relaxed geometry, computed with PBE.

Computed properties:
The magnetization comes out at 0.000 μB/atom. The calculation puts the calculated formation energy at 0.01 eV/f.u. The raw total energy comes out at -2.779 eV per atom. The value obtained for the density of states at the Fermi level is 1.733 states/eV per cell.

Lattice parameters (Å, degrees): 4.3315 5.0605 5.5196 69.83 90.00 90.00
Sites, in units of the cell vectors:
In  0.0000  0.9258  0.9103
In  0.0000  0.5742  0.5897
Be  0.5000  0.7500  0.7500
Ba  0.5000  0.2500  0.2500

***

Crystalline BaBeIn2 at its relaxed geometry, computed with PBE.

Computed properties:
The magnetization comes out at 0.000 μB/atom. The calculation puts the calculated formation energy at 0.58 eV/f.u. The raw total energy comes out at -2.636 eV per atom. The value obtained for the density of states at the Fermi level is 2.259 states/eV per cell.

Lattice parameters (Å, degrees): 5.9043 5.9043 5.9043 139.03 112.81 81.80
Sites, in units of the cell vectors:
Be  0.2500  0.7500  0.5000
Ba  0.7500  0.2500  0.5000
In  0.4287  0.4287  0.0000
In  0.0713  0.0713  0.0000

***

Crystalline BaBeIn3 at its relaxed geometry, computed with PBE.

Computed properties:
The magnetization comes out at 0.000 μB/atom. The calculation puts the calculated formation energy at -0.02 eV/f.u. The raw total energy comes out at -2.776 eV per atom. The value obtained for the density of states at the Fermi level is 2.070 states/eV per cell.

Lattice parameters (Å, degrees): 5.1715 5.1715 5.1715 90.00 90.00 90.00
Sites, in units of the cell vectors:
Be  0.0000  0.0000  0.0000
In  0.0000  0.5000  0.0000
In  0.0000  0.0000  0.5000
In  0.5000  0.0000  0.0000
Ba  0.5000  0.5000  0.5000

***

Crystalline BaNa2BeIn at its relaxed geometry, computed with PBE.

Computed properties:
The magnetization comes out at 0.000 μB/atom. The calculation puts the calculated formation energy at 5.94 eV/f.u. The raw total energy comes out at -1.016 eV per atom. The value obtained for the density of states at the Fermi level is 4.982 states/eV per cell.

Lattice parameters (Å, degrees): 7.4888 6.7336 7.4888 90.00 90.00 90.00
Sites, in units of the cell vectors:
Na  0.0000  0.0000  0.5000
Na  0.5000  0.0000  0.0000
In  0.5000  0.5000  0.5000
Be  0.0000  0.5000  0.0000
Ba  0.0000  0.0000  0.0000

***

Crystalline Ba2BeInO5 at its relaxed geometry, computed with PBE.

Computed properties:
The magnetization comes out at 0.120 μB/atom. The uncorrected formation energy is -2041.9 meV/atom. The raw total energy comes out at -5.942 eV per atom. The value obtained for the density of states at the Fermi level is 14.331 states/eV per cell.

Lattice parameters (Å, degrees): 3.4492 7.6930 11.0261 90.00 90.00 102.95
Each line ends with the local moment (μB).
Sites, in units of the cell vectors:
O  0.0479  0.0958  0.9844  0.28
O  0.6726  0.3451  0.8932  0.05
O  0.5053  0.0106  0.8033  0.26
O  0.3274  0.6549  0.3932  0.05
O  0.6642  0.3283  0.5150  0.14
O  0.3053  0.6105  0.6577  0.14
O  0.3358  0.6717  0.0150  0.14
O  0.9521  0.9042  0.4844  0.28
O  0.4947  0.9894  0.3033  0.26
O  0.6947  0.3895  0.1577  0.14
In  0.1942  0.3883  0.0261  -0.01
In  0.8058  0.6117  0.5261  -0.01
Ba  0.8720  0.7441  0.8345  0.01
Ba  0.8807  0.7613  0.1899  0.01
Ba  0.1193  0.2387  0.6899  0.01
Ba  0.1280  0.2559  0.3345  0.01
Be  0.4356  0.8712  0.4201  -0.01
Be  0.5644  0.1288  0.9201  -0.01

***

Crystalline Ba3Be2InO6 at its relaxed geometry, computed with PBE.

Computed properties:
The magnetization comes out at 0.000 μB/atom. The uncorrected formation energy is -2274.5 meV/atom. The raw total energy comes out at -6.084 eV per atom. The value obtained for the density of states at the Fermi level is 1.357 states/eV per cell.

Lattice parameters (Å, degrees): 5.7122 5.7122 7.2368 90.00 90.00 120.00
Sites, in units of the cell vectors:
Be  0.6667  0.3333  0.7186
Be  0.3333  0.6667  0.2814
Ba  0.3333  0.6667  0.6819
Ba  0.0000  0.0000  0.0000
Ba  0.6667  0.3333  0.3181
O  0.8240  0.1760  0.6933
O  0.3519  0.1760  0.6933
O  0.8240  0.6481  0.6933
O  0.1760  0.3519  0.3067
O  0.1760  0.8240  0.3067
O  0.6481  0.8240  0.3067
In  0.0000  0.0000  0.5000

***

Crystalline BaBe2In2O6 at its relaxed geometry, computed with PBE.

Computed properties:
The magnetization comes out at 0.000 μB/atom. The uncorrected formation energy is -2053.4 meV/atom. The raw total energy comes out at -6.108 eV per atom. The value obtained for the density of states at the Fermi level is 0.000 states/eV per cell.

Lattice parameters (Å, degrees): 5.6383 6.6795 5.6150 115.01 87.37 71.01
Sites, in units of the cell vectors:
O  0.5938  0.2630  0.0069
O  0.7799  0.2288  0.4370
O  0.4062  0.7370  0.9931
O  0.8679  0.5084  0.2211
O  0.1321  0.4916  0.7789
O  0.2201  0.7712  0.5630
In  0.2251  0.5485  0.1728
In  0.7749  0.4515  0.8272
Ba  0.5000  0.0000  0.5000
Be  0.2426  0.6779  0.7674
Be  0.7574  0.3221  0.2326

***

Crystalline RbBa2BeIn at its relaxed geometry, computed with PBE.

Computed properties:
The magnetization comes out at 0.272 μB/atom. The calculation puts the calculated formation energy at 2.27 eV/f.u. The raw total energy comes out at -1.802 eV per atom. The value obtained for the density of states at the Fermi level is 5.944 states/eV per cell.

Lattice parameters (Å, degrees): 6.2503 6.2064 6.2503 90.00 90.00 90.00
Each line ends with the local moment (μB).
Sites, in units of the cell vectors:
Rb  0.0000  0.5000  0.0000  0.01
Be  0.0000  0.0000  0.0000  -0.01
In  0.5000  0.5000  0.5000  0.20
Ba  0.5000  0.0000  0.0000  0.07
Ba  0.0000  0.0000  0.5000  0.05

***

Crystalline BaYBeIn2 at its relaxed geometry, computed with PBE.

Computed properties:
The magnetization comes out at 0.148 μB/atom. The calculation puts the calculated formation energy at 1.21 eV/f.u. The raw total energy comes out at -3.276 eV per atom. The value obtained for the density of states at the Fermi level is 3.945 states/eV per cell.

Lattice parameters (Å, degrees): 5.0159 5.6121 5.0159 90.00 90.00 90.00
Each line ends with the local moment (μB).
Sites, in units of the cell vectors:
In  0.5000  0.0000  0.0000  0.00
In  0.0000  0.0000  0.5000  0.01
Be  0.0000  0.0000  0.0000  0.03
Y  0.5000  0.5000  0.5000  0.23
Ba  0.0000  0.5000  0.0000  0.12

***

Crystalline BaBeIr2 at its relaxed geometry, computed with PBE.

Computed properties:
The magnetization comes out at 0.236 μB/atom. The calculation puts the calculated formation energy at 3.66 eV/f.u. The raw total energy comes out at -4.927 eV per atom. The value obtained for the density of states at the Fermi level is 5.715 states/eV per cell.

Lattice parameters (Å, degrees): 4.7627 4.7627 4.7627 60.00 60.00 60.00
Each line ends with the local moment (μB).
Sites, in units of the cell vectors:
Ba  0.5000  0.5000  0.5000  0.02
Ir  0.2500  0.2500  0.2500  0.57
Ir  0.0000  0.0000  0.0000  0.31
Be  0.7500  0.7500  0.7500  0.00

***

Crystalline BaBeIr3 at its relaxed geometry, computed with PBE.

Computed properties:
The magnetization comes out at 0.000 μB/atom. The calculation puts the calculated formation energy at 1.68 eV/f.u. The raw total energy comes out at -6.109 eV per atom. The value obtained for the density of states at the Fermi level is 3.904 states/eV per cell.

Lattice parameters (Å, degrees): 4.4526 4.4526 4.4526 90.00 90.00 90.00
Sites, in units of the cell vectors:
Ba  0.5000  0.5000  0.5000
Ir  0.0000  0.0000  0.5000
Ir  0.0000  0.5000  0.0000
Ir  0.5000  0.0000  0.0000
Be  0.0000  0.0000  0.0000

***

Crystalline BaBeIr3 at its relaxed geometry, computed with PBE.

Computed properties:
The magnetization comes out at 0.157 μB/atom. The calculation puts the calculated formation energy at 15.65 eV/f.u. The raw total energy comes out at -3.316 eV per atom. The value obtained for the density of states at the Fermi level is 4.344 states/eV per cell.

Lattice parameters (Å, degrees): 5.0972 5.0972 5.0972 90.00 90.00 90.00
Each line ends with the local moment (μB).
Sites, in units of the cell vectors:
Ba  0.0000  0.0000  0.0000  -0.02
Be  0.5000  0.5000  0.5000  -0.02
Ir  0.0000  0.5000  0.0000  0.35
Ir  0.0000  0.0000  0.5000  0.20
Ir  0.5000  0.0000  0.0000  0.31

***

Repeat the twelfth record exactly.
Crystalline BaBeIr3 at its relaxed geometry, computed with PBE.

Computed properties:
The magnetization comes out at 0.157 μB/atom. The calculation puts the calculated formation energy at 15.65 eV/f.u. The raw total energy comes out at -3.316 eV per atom. The value obtained for the density of states at the Fermi level is 4.344 states/eV per cell.

Lattice parameters (Å, degrees): 5.0972 5.0972 5.0972 90.00 90.00 90.00
Each line ends with the local moment (μB).
Sites, in units of the cell vectors:
Ba  0.0000  0.0000  0.0000  -0.02
Be  0.5000  0.5000  0.5000  -0.02
Ir  0.0000  0.5000  0.0000  0.35
Ir  0.0000  0.0000  0.5000  0.20
Ir  0.5000  0.0000  0.0000  0.31